First-principles (PBE-GGA) data for crystalline HfNiBIr2 at its relaxed geometry, as listed in Alexandria.

Properties
- E_form: -2.80 eV/f.u.
- Spin magnetization: 0.0 μB/cell

CIF file:
```
data_HfNiBIr2
_chemical_formula_sum 'Hf1 Ni1 B1 Ir2'
_cell_length_a 4.1341
_cell_length_b 4.1341
_cell_length_c 4.0210
_cell_angle_alpha 90.00
_cell_angle_beta 90.00
_cell_angle_gamma 90.00
_space_group_name_H-M_alt 'P 4/m m m'
_space_group_IT_number 123
_space_group_name_Hall '-P 4 2'
loop_
_atom_site_label
_atom_site_type_symbol
_atom_site_fract_x
_atom_site_fract_y
_atom_site_fract_z
Hf1 Hf 0.0000 0.0000 0.0000
Ni1 Ni 0.5000 0.5000 0.0000
B1 B 0.5000 0.5000 0.5000
Ir1 Ir 0.0000 0.5000 0.5000
```

=====

First-principles (PBE-GGA) data for crystalline Zr2GeIr at its relaxed geometry, as listed in Alexandria.

Properties
- E_form: 0.94 eV/f.u.
- Spin magnetization: 0.0 μB/cell

CIF file:
```
data_Zr2GeIr
_chemical_formula_sum 'Zr8 Ge4 Ir4'
_cell_length_a 5.4964
_cell_length_b 5.4964
_cell_length_c 14.1912
_cell_angle_alpha 90.00
_cell_angle_beta 90.00
_cell_angle_gamma 90.00
_space_group_name_H-M_alt 'I -4 2 d'
_space_group_IT_number 122
_space_group_name_Hall 'I -4 2bw'
loop_
_atom_site_label
_atom_site_type_symbol
_atom_site_fract_x
_atom_site_fract_y
_atom_site_fract_z
Zr1 Zr 0.2379 0.2500 0.1250
Ge1 Ge 0.0000 0.0000 0.5000
Ir1 Ir 0.0000 0.0000 0.0000
```